Computed, not measured: crystalline Cs2NaSn at its relaxed geometry at the PBE-GGA level of DFT.

a = 5.4636 Å, b = 5.4636 Å, c = 26.9647 Å
α = 90.00°, β = 90.00°, γ = 90.00°
Last column: nearest neighbours and their distance in Å.
Positions (direct):
Cs  0.2476  0.2500  0.1250  4 Cs 3.85-3.88, 2 Na 3.88, 2 Sn 3.89
Cs  0.2500  0.7476  0.3750  4 Cs 3.85-3.88, 2 Na 3.88, 2 Sn 3.89
Cs  0.2500  0.7524  0.8750  4 Cs 3.85-3.88, 2 Na 3.88, 2 Sn 3.89
Cs  0.2524  0.2500  0.6250  4 Cs 3.85-3.88, 2 Na 3.88, 2 Sn 3.89
Cs  0.7476  0.7500  0.6250  4 Cs 3.85-3.88, 2 Na 3.88, 2 Sn 3.89
Cs  0.7500  0.2476  0.8750  4 Cs 3.85-3.88, 2 Na 3.88, 2 Sn 3.89
Cs  0.7500  0.2524  0.3750  4 Cs 3.85-3.88, 2 Na 3.88, 2 Sn 3.89
Cs  0.7524  0.7500  0.1250  4 Cs 3.85-3.88, 2 Na 3.88, 2 Sn 3.89
Na  0.0000  0.0000  0.0000  4 Sn 3.86, 4 Cs 3.88
Na  0.0000  0.5000  0.2500  4 Sn 3.86, 4 Cs 3.88
Na  0.5000  0.0000  0.7500  4 Sn 3.86, 4 Cs 3.88
Na  0.5000  0.5000  0.5000  4 Sn 3.86, 4 Cs 3.88
Sn  0.0000  0.0000  0.5000  4 Na 3.86, 4 Cs 3.89
Sn  0.0000  0.5000  0.7500  4 Na 3.86, 4 Cs 3.89
Sn  0.5000  0.0000  0.2500  4 Na 3.86, 4 Cs 3.89
Sn  0.5000  0.5000  0.0000  4 Na 3.86, 4 Cs 3.89

* energy above the most stable polymorph in this dataset: 1.21 eV/f.u.
* space-group type: I-42d
* energy relative to the elements: 0.8 eV per formula unit

---

Computed, not measured: crystalline HfPa2Ta at its relaxed geometry at the PBE-GGA level of DFT.

a = 4.2594 Å, b = 4.2594 Å, c = 5.0088 Å
α = 90.00°, β = 90.00°, γ = 90.00°
Last column: nearest neighbours and their distance in Å.
Positions (direct):
Hf  0.0000  0.0000  0.0000  4 Ta 3.01, 8 Pa 3.29
Pa  0.0000  0.5000  0.5000  4 Pa 3.01, 4 Hf 3.29, 4 Ta 3.29
Pa  0.5000  0.0000  0.5000  4 Pa 3.01, 4 Hf 3.29, 4 Ta 3.29
Ta  0.5000  0.5000  0.0000  4 Hf 3.01, 8 Pa 3.29

* energy above the most stable polymorph in this dataset: 0.00 eV/f.u.
* space-group type: P4/mmm
* energy relative to the elements: 0.8 eV per formula unit

---

Computed, not measured: crystalline SrPt2Br at its relaxed geometry at the PBE-GGA level of DFT.

a = 7.0611 Å, b = 7.0611 Å, c = 7.0611 Å
α = 90.00°, β = 90.00°, γ = 90.00°
Last column: nearest neighbours and their distance in Å.
Positions (direct):
Sr  0.0000  0.0000  0.0000  4 Br 3.06, 4 Pt 3.06
Sr  0.0000  0.5000  0.5000  4 Br 3.06, 4 Pt 3.06
Sr  0.5000  0.0000  0.5000  4 Br 3.06, 4 Pt 3.06
Sr  0.5000  0.5000  0.0000  4 Br 3.06, 4 Pt 3.06
Pt  0.0000  0.0000  0.5000  4 Br 3.06, 4 Pt 3.06
Pt  0.0000  0.5000  0.0000  4 Br 3.06, 4 Pt 3.06
Pt  0.2500  0.2500  0.2500  4 Sr 3.06, 4 Pt 3.06
Pt  0.2500  0.7500  0.7500  4 Sr 3.06, 4 Pt 3.06
Pt  0.5000  0.0000  0.0000  4 Br 3.06, 4 Pt 3.06
Pt  0.5000  0.5000  0.5000  4 Br 3.06, 4 Pt 3.06
Pt  0.7500  0.2500  0.7500  4 Sr 3.06, 4 Pt 3.06
Pt  0.7500  0.7500  0.2500  4 Sr 3.06, 4 Pt 3.06
Br  0.2500  0.2500  0.7500  4 Sr 3.06, 4 Pt 3.06
Br  0.2500  0.7500  0.2500  4 Sr 3.06, 4 Pt 3.06
Br  0.7500  0.2500  0.2500  4 Sr 3.06, 4 Pt 3.06
Br  0.7500  0.7500  0.7500  4 Sr 3.06, 4 Pt 3.06

* energy above the most stable polymorph in this dataset: 2.09 eV/f.u.
* formation energy without anion corrections: -16.6 kJ per mole of atoms
* space-group type: F-43m

---

Computed, not measured: crystalline HfIn2NiW at its relaxed geometry at the PBE-GGA level of DFT.

a = 5.4314 Å, b = 5.4314 Å, c = 4.8449 Å
α = 90.00°, β = 90.00°, γ = 90.00°
Last column: nearest neighbours and their distance in Å.
Positions (direct):
Hf  0.0000  0.0000  0.0000  2 W 2.42
In  0.0000  0.5000  0.0000  2 Hf 2.72
In  0.5000  0.0000  0.0000  2 Hf 2.72
Ni  0.5000  0.5000  0.5000  8 In 3.64, 4 W 3.84
W  0.0000  0.0000  0.5000  2 Hf 2.42

* space-group type: P4/mmm
* energy relative to the elements: 9.1 eV per formula unit

---

Here are the calculated V numbers, same order: 805, 91, 352, 143 (Å³ per cell).
Here are the calculated total DFT energy (no corrections) numbers, same order: -6.19, -40.00, -16.12, -25.07 (eV/f.u.).
Here are the calculated magnetization numbers, same order: 0.000, 0.000, 0.000, 0.854 (μB/cell).